! BeIn2W (PBE, relaxed); values from VASP
! crystal system = orthorhombic
&SYSTEM
  ibrav = 0, nat = 4, ntyp = 3
/
ATOMIC_SPECIES
W 183.84 W.upf
Be 9.01 Be.upf
In 114.82 In.upf
CELL_PARAMETERS angstrom
5.081 0.019 0.009
-1.950 4.692 0.009
-0.008 -0.012 2.963
ATOMIC_POSITIONS angstrom
W 2.537 0.004 1.486
Be -0.979 2.340 1.486
In 1.566 2.356 0.009
In 0.000 0.000 0.000



! Be2InW2 (PBE, relaxed); values from VASP
! crystal system = tetragonal
&SYSTEM
  ibrav = 0, nat = 10, ntyp = 3
/
ATOMIC_SPECIES
Be 9.01 Be.upf
W 183.84 W.upf
In 114.82 In.upf
CELL_PARAMETERS angstrom
-5.077 0.969 3.533
0.192 -5.959 1.910
2.001 0.907 2.627
ATOMIC_POSITIONS angstrom
Be -3.096 -0.085 2.388
W -2.236 -3.850 5.265
W -3.155 -0.714 4.882
Be -4.379 -2.801 4.303
In 0.000 0.000 0.000
In -2.442 -2.495 2.722
Be -1.789 -4.905 3.056
W 0.271 -3.369 3.188
W -0.647 -0.233 2.806
Be -0.505 -2.189 1.140



! Y2Be2In (PBE, relaxed); values from VASP
! crystal system = tetragonal
! relative energy among the computed polymorphs = 322 meV per atom
&SYSTEM
  ibrav = 0, nat = 5, ntyp = 3
/
ATOMIC_SPECIES
Y 88.91 Y.upf
Be 9.01 Be.upf
In 114.82 In.upf
CELL_PARAMETERS angstrom
3.279 0.000 0.000
0.000 3.279 0.000
1.639 1.639 9.721
ATOMIC_POSITIONS angstrom
Y 1.639 1.639 2.318
Be 1.639 3.279 4.861
Y 3.279 3.279 7.403
In 0.000 0.000 0.000
Be 3.279 1.639 4.861



! YBe3In (PBE, relaxed); values from VASP
! crystal system = cubic
! relative energy among the computed polymorphs = 0 meV per atom
&SYSTEM
  ibrav = 0, nat = 5, ntyp = 3
/
ATOMIC_SPECIES
Be 9.01 Be.upf
In 114.82 In.upf
Y 88.91 Y.upf
CELL_PARAMETERS angstrom
-1.034 -2.651 3.478
-1.867 -2.965 -2.815
3.955 -2.092 -0.419
ATOMIC_POSITIONS angstrom
Be -0.517 -1.326 1.739
In 0.000 0.000 0.000
Y 0.527 -3.854 0.122
Be -0.933 -1.482 -1.407
Be 1.978 -1.046 -0.210



! Y2Be2In (PBE, relaxed); values from VASP
! crystal system = tetragonal
! relative energy among the computed polymorphs = 0 meV per atom
&SYSTEM
  ibrav = 0, nat = 10, ntyp = 3
/
ATOMIC_SPECIES
Y 88.91 Y.upf
In 114.82 In.upf
Be 9.01 Be.upf
CELL_PARAMETERS angstrom
-1.293 -4.772 4.836
-0.667 -4.810 -4.924
4.176 -0.857 0.271
ATOMIC_POSITIONS angstrom
Y 1.414 -4.498 -2.342
In 0.000 0.000 0.000
In -0.980 -4.791 -0.044
Be -0.405 -2.401 -1.353
Y 0.802 -5.940 2.525
Y 0.665 -7.617 -0.675
Be -1.091 -6.107 -2.496
Y 1.550 -2.821 0.858
Be -1.556 -7.181 1.265
Be -0.869 -3.475 2.408



! Y3BeIn (PBE, relaxed); values from VASP
! crystal system = cubic
! relative energy among the computed polymorphs = 0 meV per atom
&SYSTEM
  ibrav = 0, nat = 5, ntyp = 3
/
ATOMIC_SPECIES
Y 88.91 Y.upf
In 114.82 In.upf
Be 9.01 Be.upf
CELL_PARAMETERS angstrom
5.191 0.000 0.000
0.000 5.191 0.000
0.000 0.000 5.191
ATOMIC_POSITIONS angstrom
Y 2.596 0.000 0.000
In 2.596 2.596 2.596
Y 0.000 0.000 2.596
Be 0.000 0.000 0.000
Y 0.000 2.596 0.000



! Y2Be2In (PBE, relaxed); values from VASP
! crystal system = tetragonal
! relative energy among the computed polymorphs = 490 meV per atom
&SYSTEM
  ibrav = 0, nat = 10, ntyp = 3
/
ATOMIC_SPECIES
Y 88.91 Y.upf
Be 9.01 Be.upf
In 114.82 In.upf
CELL_PARAMETERS angstrom
-1.861 6.459 -4.554
3.292 -3.620 -6.480
-3.034 -1.407 -0.756
ATOMIC_POSITIONS angstrom
Y 2.140 -0.831 -7.042
Be -1.927 3.559 -6.666
Be 0.142 0.282 -8.872
Be 0.325 -2.126 -5.123
Y 0.845 -0.243 -2.940
Y 0.586 3.083 -8.093
Y -0.708 3.671 -3.992
Be -1.744 1.151 -2.918
In 0.000 0.000 0.000
In 0.716 1.420 -5.517



! YBe3In (PBE, relaxed); values from VASP
! crystal system = cubic
! relative energy among the computed polymorphs = 1015 meV per atom
&SYSTEM
  ibrav = 0, nat = 5, ntyp = 3
/
ATOMIC_SPECIES
In 114.82 In.upf
Be 9.01 Be.upf
Y 88.91 Y.upf
CELL_PARAMETERS angstrom
5.081 0.000 0.000
0.000 5.081 0.000
0.000 0.000 5.081
ATOMIC_POSITIONS angstrom
In 2.540 2.540 2.540
Be 0.000 0.000 2.540
Be 2.540 0.000 0.000
Be 0.000 2.540 0.000
Y 0.000 0.000 0.000



! Y4BeIn (PBE, relaxed); values from VASP
! crystal system = cubic
&SYSTEM
  ibrav = 0, nat = 6, ntyp = 3
/
ATOMIC_SPECIES
Y 88.91 Y.upf
Be 9.01 Be.upf
In 114.82 In.upf
CELL_PARAMETERS angstrom
-5.300 -0.963 -3.148
-5.289 2.719 1.890
-2.511 4.615 -3.366
ATOMIC_POSITIONS angstrom
Y -4.912 2.388 -1.734
Be -9.826 4.778 -3.469
In 0.000 0.000 0.000
Y -7.564 1.907 -3.309
Y -6.168 4.697 -3.418
Y -7.558 3.749 -0.789



! YBe2ZnIn (PBE, relaxed); values from VASP
! crystal system = tetragonal
&SYSTEM
  ibrav = 0, nat = 5, ntyp = 4
/
ATOMIC_SPECIES
Be 9.01 Be.upf
In 114.82 In.upf
Y 88.91 Y.upf
Zn 65.41 Zn.upf
CELL_PARAMETERS angstrom
5.186 0.000 0.000
0.000 6.043 0.000
0.000 0.000 5.186
ATOMIC_POSITIONS angstrom
Be 2.593 0.000 0.000
In 0.000 3.021 0.000
Y 0.000 0.000 0.000
Be 0.000 0.000 2.593
Zn 2.593 3.021 2.593



! Be2Zn2In (PBE, relaxed); values from VASP
! crystal system = tetragonal
! relative energy among the computed polymorphs = 33 meV per atom
&SYSTEM
  ibrav = 0, nat = 10, ntyp = 3
/
ATOMIC_SPECIES
Be 9.01 Be.upf
Zn 65.41 Zn.upf
In 114.82 In.upf
CELL_PARAMETERS angstrom
7.442 0.000 0.000
0.000 7.442 0.000
0.000 0.000 2.670
ATOMIC_POSITIONS angstrom
Be 5.002 6.161 1.335
Zn 0.933 2.788 0.000
Zn 4.654 0.933 0.000
Be 6.161 2.440 1.335
Zn 2.788 6.509 0.000
In 0.000 0.000 0.000
In 3.721 3.721 0.000
Zn 6.509 4.654 0.000
Be 2.440 1.281 1.335
Be 1.281 5.002 1.335



! Be2ZnIn (PBE, relaxed); values from VASP
! crystal system = trigonal
! relative energy among the computed polymorphs = 128 meV per atom
&SYSTEM
  ibrav = 0, nat = 4, ntyp = 3
/
ATOMIC_SPECIES
Be 9.01 Be.upf
Zn 65.41 Zn.upf
In 114.82 In.upf
CELL_PARAMETERS angstrom
8.233 0.001 0.000
7.707 2.897 0.000
7.707 1.401 2.536
ATOMIC_POSITIONS angstrom
Be 23.528 4.277 2.524
Zn 17.403 3.163 1.867
Be 6.239 1.134 0.669
In 11.947 2.172 1.281



| no. | formation enthalpy at 0 K (eV per atom) | E (eV/cell) |
| --- | --- | --- |
| 1 | 0.667 | -19.5 |
| 2 | 0.280 | -69.4 |
| 3 | 0.144 | -22.4 |
| 4 | 0.705 | -16.9 |
| 5 | -0.178 | -48.0 |
| 6 | 0.033 | -25.7 |
| 7 | 0.311 | -43.1 |
| 8 | 1.720 | -11.8 |
| 9 | 0.587 | -28.8 |
| 10 | 1.539 | -10.2 |
| 11 | 0.379 | -21.7 |
| 12 | 0.483 | -9.5 |